(1)
# LiY

A geometry-optimized LiY structure (PBE-GGA, Alexandria).

abc: 8.1997 8.1997 8.1997
angles: 90.00 90.00 90.00
Closest atoms and distances in Å follow each position.
Positions (direct):
Y 0.5000 0.0000 0.7500  4 Li 2.90
Y 0.0000 0.2500 0.5000  4 Li 2.90
Y 0.7500 0.5000 0.0000  4 Li 2.90
Y 0.5000 0.0000 0.2500  4 Li 2.90
Y 0.2500 0.5000 0.0000  4 Li 2.90
Y 0.0000 0.7500 0.5000  4 Li 2.90
Li 0.0000 0.5000 0.2500  4 Y 2.90
Li 0.7500 0.0000 0.5000  4 Y 2.90
Li 0.5000 0.2500 0.0000  4 Y 2.90
Li 0.5000 0.7500 0.0000  4 Y 2.90
Li 0.0000 0.5000 0.7500  4 Y 2.90
Li 0.2500 0.0000 0.5000  4 Y 2.90

Summary:
**Spin magnetization**: 1.0129 μB/atom
**Space-group type**: Pm-3n, No. 223
**ΔH_f (0 K)**: 1386 meV/atom

=====

(2)
# LiY5

A geometry-optimized LiY5 structure (PBE-GGA, Alexandria).

abc: 6.4263 6.4263 8.5472
angles: 69.25 69.25 33.51
Closest atoms and distances in Å follow each position.
Positions (direct):
Y 0.2981 0.2981 0.3614  2 Li 3.28, 7 Y 3.58-3.66
Y 0.9721 0.9721 0.5557  12 Y 3.45-3.73
Y 0.3292 0.3292 0.9136  2 Li 3.10, 4 Y 3.40-3.45
Y 0.6151 0.6151 0.1977  2 Li 3.09, 4 Y 3.40-3.45
Y 0.6464 0.6464 0.7496  2 Li 3.27, 7 Y 3.58-3.66
Li 0.9725 0.9725 0.0553  8 Y 3.09-3.28

Summary:
**Spin magnetization**: 0.0000 μB/atom
**Space-group type**: C2/m, No. 12
**ΔH_f (0 K)**: 50 meV/atom

=====

(3)
# LiY3

A geometry-optimized LiY3 structure (PBE-GGA, Alexandria).

abc: 11.4006 11.4006 11.4006
angles: 17.76 17.76 17.76
Closest atoms and distances in Å follow each position.
Positions (direct):
Y 0.2526 0.2526 0.2526  3 Li 3.39, 9 Y 3.52-3.53
Y 0.7474 0.7474 0.7474  3 Li 3.39, 9 Y 3.52-3.53
Y 0.5000 0.5000 0.5000  12 Y 3.52-3.53
Li 0.0000 0.0000 0.0000  6 Y 3.39, 6 Li 3.52

Summary:
**Spin magnetization**: 0.0000 μB/atom
**Space-group type**: R-3m, No. 166
**ΔH_f (0 K)**: 93 meV/atom

=====

(4)
# Li3Y

A geometry-optimized Li3Y structure (PBE-GGA, Alexandria).

abc: 3.3146 3.3146 10.4289
angles: 90.00 90.00 120.00
Closest atoms and distances in Å follow each position.
Positions (direct):
Li 0.0000 0.0000 0.0169  9 Li 3.09-3.31, 3 Y 3.38
Li 0.0000 0.0000 0.4831  9 Li 3.09-3.31, 3 Y 3.38
Li 0.6667 0.3333 0.2500  12 Li 3.09-3.31
Y 0.6667 0.3333 0.7500  6 Y 3.31, 6 Li 3.38

Summary:
**Spin magnetization**: 0.0000 μB/atom
**Space-group type**: P-6m2, No. 187
**ΔH_f (0 K)**: 119 meV/atom

=====

(5)
# Li3Y

A geometry-optimized Li3Y structure (PBE-GGA, Alexandria).

abc: 4.6079 4.6079 4.6079
angles: 90.00 90.00 90.00
Closest atoms and distances in Å follow each position.
Positions (direct):
Li 0.5000 0.5000 0.0000  8 Li 3.26, 4 Y 3.26
Li 0.5000 0.0000 0.5000  8 Li 3.26, 4 Y 3.26
Li 0.0000 0.5000 0.5000  8 Li 3.26, 4 Y 3.26
Y 0.0000 0.0000 0.0000  12 Li 3.26

Summary:
**Spin magnetization**: 0.2753 μB/atom
**Space-group type**: Pm-3m, No. 221
**ΔH_f (0 K)**: 236 meV/atom

=====

(6)
# LiY3

A geometry-optimized LiY3 structure (PBE-GGA, Alexandria).

abc: 4.9197 4.9197 4.9197
angles: 90.00 90.00 90.00
Closest atoms and distances in Å follow each position.
Positions (direct):
Y 0.0000 0.5000 0.5000  4 Li 3.48, 8 Y 3.48
Y 0.5000 0.5000 0.0000  4 Li 3.48, 8 Y 3.48
Y 0.5000 0.0000 0.5000  4 Li 3.48, 8 Y 3.48
Li 0.0000 0.0000 0.0000  12 Y 3.48

Summary:
**Spin magnetization**: 0.0051 μB/atom
**Space-group type**: Pm-3m, No. 221
**ΔH_f (0 K)**: 199 meV/atom

=====

(7)
# LiY5

A geometry-optimized LiY5 structure (PBE-GGA, Alexandria).

abc: 3.6039 3.6039 13.9467
angles: 90.00 90.00 90.00
Closest atoms and distances in Å follow each position.
Positions (direct):
Y 0.5000 0.5000 0.6812  12 Y 3.56-3.60
Y 0.5000 0.5000 0.3188  12 Y 3.56-3.60
Y 0.0000 0.0000 0.5000  12 Y 3.59-3.60
Y 0.0000 0.0000 0.8599  4 Li 3.21, 4 Y 3.56
Y 0.0000 0.0000 0.1401  4 Li 3.21, 4 Y 3.56
Li 0.5000 0.5000 0.0000  8 Y 3.21

Summary:
**Spin magnetization**: 0.0001 μB/atom
**Space-group type**: P4/mmm, No. 123
**ΔH_f (0 K)**: 51 meV/atom

=====

(8)
# LiY3

A geometry-optimized LiY3 structure (PBE-GGA, Alexandria).

abc: 3.6260 3.6260 8.8573
angles: 90.00 90.00 90.02
Closest atoms and distances in Å follow each position.
Positions (direct):
Y 0.5000 0.5000 0.7801  4 Li 3.22, 4 Y 3.57
Y 0.0000 0.0000 0.5000  12 Y 3.57-3.63
Y 0.5000 0.5000 0.2199  4 Li 3.22, 4 Y 3.57
Li 0.0000 0.0000 0.0000  8 Y 3.22

Summary:
**Spin magnetization**: 0.0000 μB/atom
**Space-group type**: P4/mmm, No. 123
**ΔH_f (0 K)**: 60 meV/atom

=====

(9)
# LiY

A geometry-optimized LiY structure (PBE-GGA, Alexandria).

abc: 3.4119 3.4119 5.4468
angles: 90.00 90.00 120.00
Closest atoms and distances in Å follow each position.
Positions (direct):
Y 0.6667 0.3333 0.5000  6 Li 3.36, 6 Y 3.41
Li 0.0000 0.0000 0.0000  6 Y 3.36, 6 Li 3.41

Summary:
**Spin magnetization**: 0.0000 μB/atom
**Space-group type**: P-6m2, No. 187
**ΔH_f (0 K)**: 197 meV/atom

=====

(10)
# LiY

A geometry-optimized LiY structure (PBE-GGA, Alexandria).

abc: 6.0074 6.6068 3.5392
angles: 74.46 72.87 51.06
Closest atoms and distances in Å follow each position.
Positions (direct):
Li 0.0246 0.9204 0.0275  2 Li 2.81
Li 0.8921 0.6630 0.7225  2 Li 2.81
Y 0.5754 0.4592 0.4827  7 Li 3.27-3.32, 6 Y 3.54-3.60
Y 0.3413 0.1242 0.2673  7 Li 3.27-3.32, 6 Y 3.54-3.60

Summary:
**Spin magnetization**: 0.1160 μB/atom
**Space-group type**: C2/m, No. 12
**ΔH_f (0 K)**: 145 meV/atom

=====

(11)
# LiY

A geometry-optimized LiY structure (PBE-GGA, Alexandria).

abc: 5.3996 6.0060 6.5361
angles: 90.00 90.00 90.00
Closest atoms and distances in Å follow each position.
Positions (direct):
Li 0.2500 0.3180 0.3195  6 Y 3.05-3.32, 2 Li 3.37
Li 0.7500 0.6820 0.6805  6 Y 3.05-3.32, 2 Li 3.37
Li 0.7500 0.8180 0.1805  6 Y 3.05-3.32, 2 Li 3.37
Li 0.2500 0.1820 0.8195  6 Y 3.05-3.32, 2 Li 3.37
Y 0.2500 0.8151 0.4119  6 Li 3.05-3.32, 2 Y 3.36
Y 0.7500 0.3151 0.0881  6 Li 3.05-3.32, 2 Y 3.36
Y 0.7500 0.1849 0.5881  6 Li 3.05-3.32, 2 Y 3.36
Y 0.2500 0.6849 0.9119  6 Li 3.05-3.32, 2 Y 3.36

Summary:
**Spin magnetization**: 0.0000 μB/atom
**Space-group type**: Pnma, No. 62
**ΔH_f (0 K)**: 284 meV/atom

=====

(12)
# LiY

A geometry-optimized LiY structure (PBE-GGA, Alexandria).

abc: 3.5030 5.4647 5.5979
angles: 90.00 90.00 90.00
Closest atoms and distances in Å follow each position.
Positions (direct):
Li 0.0000 0.0000 0.9967  6 Y 3.27-3.34, 6 Li 3.37-3.50
Li 0.5000 0.5000 0.8367  6 Y 3.27-3.34, 6 Li 3.37-3.50
Y 0.0000 0.5000 0.3296  6 Li 3.27-3.34, 6 Y 3.39-3.50
Y 0.5000 0.0000 0.5038  6 Li 3.27-3.34, 6 Y 3.39-3.50

Summary:
**Spin magnetization**: 0.0000 μB/atom
**Space-group type**: Pmmn, No. 59
**ΔH_f (0 K)**: 161 meV/atom

=====

(13)
# LiY3

A geometry-optimized LiY3 structure (PBE-GGA, Alexandria).

abc: 3.5617 4.8952 6.8948
angles: 90.00 90.00 90.00
Closest atoms and distances in Å follow each position.
Positions (direct):
Y 0.5000 0.5000 0.7528  8 Y 3.41-3.56, 4 Li 3.47
Y 0.0000 0.0000 0.5000  2 Li 3.45, 10 Y 3.49-3.56
Y 0.5000 0.5000 0.2472  8 Y 3.41-3.56, 4 Li 3.47
Li 0.0000 0.0000 0.0000  10 Y 3.45-3.47, 2 Li 3.56

Summary:
**Spin magnetization**: 0.0005 μB/atom
**Space-group type**: Pmmm, No. 47
**ΔH_f (0 K)**: 159 meV/atom

=====

(14)
# LiY

A geometry-optimized LiY structure (PBE-GGA, Alexandria).

abc: 3.8497 3.8497 16.2630
angles: 90.00 90.00 120.00
Closest atoms and distances in Å follow each position.
Positions (direct):
Li 0.6667 0.3333 0.2500  3 Li 2.22
Li 0.0000 0.0000 0.2500  3 Li 2.22
Li 0.0000 0.0000 0.7500  3 Li 2.22
Li 0.3333 0.6667 0.7500  3 Li 2.22
Y 0.6667 0.3333 0.5872  6 Li 3.46, 9 Y 3.60-3.85
Y 0.3333 0.6667 0.4128  6 Li 3.46, 9 Y 3.60-3.85
Y 0.6667 0.3333 0.9128  6 Li 3.46, 9 Y 3.60-3.85
Y 0.3333 0.6667 0.0872  6 Li 3.46, 9 Y 3.60-3.85

Summary:
**Spin magnetization**: 0.3857 μB/atom
**Space-group type**: P6_3/mmc, No. 194
**ΔH_f (0 K)**: 268 meV/atom

=====

Number 1: VASP energy -33.64 eV/cell, ΔE to the lowest computed polymorph 1330 meV/atom. Number 2: VASP energy -33.93 eV/cell, ΔE to the lowest computed polymorph 0 meV/atom. Number 3: VASP energy -20.93 eV/cell, ΔE to the lowest computed polymorph 34 meV/atom. Number 4: VASP energy -11.73 eV/cell, ΔE to the lowest computed polymorph 74 meV/atom. Number 5: VASP energy -11.26 eV/cell, ΔE to the lowest computed polymorph 192 meV/atom. Number 6: VASP energy -20.51 eV/cell, ΔE to the lowest computed polymorph 139 meV/atom. Number 7: VASP energy -33.93 eV/cell, ΔE to the lowest computed polymorph 1 meV/atom. Number 8: VASP energy -21.07 eV/cell, ΔE to the lowest computed polymorph 0 meV/atom. Number 9: VASP energy -7.98 eV/cell, ΔE to the lowest computed polymorph 141 meV/atom. Number 10: VASP energy -16.18 eV/cell, ΔE to the lowest computed polymorph 89 meV/atom. Number 11: VASP energy -31.24 eV/cell, ΔE to the lowest computed polymorph 228 meV/atom. Number 12: VASP energy -16.11 eV/cell, ΔE to the lowest computed polymorph 105 meV/atom. Number 13: VASP energy -20.67 eV/cell, ΔE to the lowest computed polymorph 100 meV/atom. Number 14: VASP energy -31.37 eV/cell, ΔE to the lowest computed polymorph 212 meV/atom.